This record from Alexandria describes a relaxed structure of DyTh2Sc2. The functional is PBE.

The energy above the most stable polymorph in this dataset comes out at 49.2 kJ/mol of atoms.

Cell and atoms, written as extended XYZ:
```
10
Lattice="0.0000 5.4012 10.5174 2.8812 0.0000 10.5174 2.8812 5.4012 0.0000" Properties=species:S:1:pos:R:3 pbc="T T T"
Dy 0.7203 1.3503 2.6294
Dy 5.0422 9.4521 18.4055
Th 2.1609 2.3264 7.8881
Th 3.6016 5.0270 13.1468
Th 2.1609 5.7754 7.8881
Th 3.6016 8.4760 13.1468
Sc 0.0000 0.0000 0.0000
Sc 1.4406 2.7006 0.0000
Sc 1.4406 0.0000 5.2587
Sc 0.0000 2.7006 5.2587
```